Computed, not measured: a geometry-optimized Sr2CaRh structure at the PBEsol level of DFT.

Values from the calculation:
Energy of formation ... 0.1827 eV/atom
Calculated total energy ... -3.31 eV per atom

Cell lengths 4.9734, 4.9734, 4.7144 Å; angles 90.00, 90.00, 90.00 degrees
Closest atoms and distances in Å follow each position.
Space group P4/mmm (No. 123)
Unique sites:
Sr  0.0000  0.5000  0.0000 x2  4 Ca 3.43, 4 Rh 3.43, 4 Sr 3.52
Ca  0.0000  0.0000  0.5000 x1  8 Sr 3.43, 4 Rh 3.52
Rh  0.5000  0.5000  0.5000 x1  8 Sr 3.43, 4 Ca 3.52